5
Lattice="-2.6404 -0.6922 3.9244 -0.0622 -4.7000 -0.8709 3.9845 -0.5321 2.5870" Properties=species:S:1:pos:R:3 comment="GGA-PBE Mn3WCl, relaxed" e_form_raw_ev_per_atom=1.345 polymorph_energy_ev_per_atom=0.291 vol_a3_per_atom=21.85 spacegroup="No. 221" pbc="T T T"
Mn 1.9923 -0.2660 1.2935
Mn -1.3202 -0.3461 1.9622
Mn -0.0311 -2.3500 -0.4354
W 0.0000 0.0000 0.0000
Cl 0.6410 -2.9621 2.8203